DFT (PBE+U) results for an optimized crystal structure of PrPaMoO6.

Results
* total DFT energy (no corrections): -8.474 eV/atom

Structure (CIF):
```
data_PrPaMoO6
_space_group_name_H-M_alt 'P 3 1 2'
_space_group_IT_number 149
_space_group_name_Hall 'P 3 2'
_cell_length_a 5.6136
_cell_length_b 5.6136
_cell_length_c 4.8615
_cell_angle_alpha 90.00
_cell_angle_beta 90.00
_cell_angle_gamma 120.00
loop_
_atom_site_label
_atom_site_fract_x
_atom_site_fract_y
_atom_site_fract_z
_atom_site_occupancy
Pr1 0.0000 0.0000 0.0000 1
Pa1 0.6667 0.3333 0.5000 1
Mo1 0.3333 0.6667 0.0000 1
O1 0.0109 0.3739 0.2425 1
```